Computed, not measured: crystalline RbGaH2Ru at its relaxed geometry at the PBE level of DFT.

Values from the calculation:
Raw total energy: -3.5978 eV/atom
Spin magnetization: 0.000 Bohr magnetons per cell
Space-group type: P4/mmm
Density of states at the Fermi level: 1.79 states/eV per cell

Structure (CIF):
```
data_RbGaH2Ru
_chemical_formula_sum 'Rb1 Ga1 H2 Ru1'
_symmetry_space_group_name_H-M 'P 1'
_symmetry_Int_Tables_number 1
_cell_length_a 4.173
_cell_length_b 4.173
_cell_length_c 4.767
_cell_angle_alpha 90.00
_cell_angle_beta 90.00
_cell_angle_gamma 90.00
loop_
_symmetry_equiv_pos_as_xyz
'x,y,z'
loop_
_atom_site_label
_atom_site_type_symbol
_atom_site_fract_x
_atom_site_fract_y
_atom_site_fract_z
Rb1 Rb 0.000 0.000 0.000
Ga1 Ga 0.500 0.500 0.000
H1 H 0.000 0.500 0.500
H2 H 0.500 0.000 0.500
Ru1 Ru 0.500 0.500 0.500
```

=====

Computed, not measured: crystalline La2NdSn at its relaxed geometry at the PBE level of DFT.

Values from the calculation:
E_form: -0.3881 eV/atom
Raw total energy: -5.0445 eV/atom
Spin magnetization: 0.000 Bohr magnetons per cell
Space-group type: P2_1/m
Density of states at the Fermi level: 11.62 states/eV per cell

Structure (CIF):
```
data_La2NdSn
_chemical_formula_sum 'La4 Nd2 Sn2'
_symmetry_space_group_name_H-M 'P 1'
_symmetry_Int_Tables_number 1
_cell_length_a 4.665
_cell_length_b 5.049
_cell_length_c 11.212
_cell_angle_alpha 90.00
_cell_angle_beta 90.04
_cell_angle_gamma 90.00
loop_
_symmetry_equiv_pos_as_xyz
'x,y,z'
loop_
_atom_site_label
_atom_site_type_symbol
_atom_site_fract_x
_atom_site_fract_y
_atom_site_fract_z
La1 La 0.000 0.250 0.148
La2 La 0.000 0.750 0.852
La3 La 0.001 0.750 0.396
La4 La 0.999 0.250 0.604
Nd1 Nd 0.500 0.250 0.875
Nd2 Nd 0.500 0.750 0.125
Sn1 Sn 0.500 0.250 0.357
Sn2 Sn 0.500 0.750 0.643
```

=====

Computed, not measured: crystalline Sr2Si3 at its relaxed geometry at the PBE level of DFT.

Values from the calculation:
Raw total energy: -4.3266 eV/atom
Spin magnetization: 0.000 Bohr magnetons per cell
Formation energy (no corrections): -2.00 eV/f.u.
Space-group type: Cmcm
Density of states at the Fermi level: 3.21 states/eV per cell

Structure (CIF):
```
data_Sr2Si3
_chemical_formula_sum 'Sr4 Si6'
_symmetry_space_group_name_H-M 'P 1'
_symmetry_Int_Tables_number 1
_cell_length_a 13.065
_cell_length_b 13.065
_cell_length_c 4.049
_cell_angle_alpha 90.00
_cell_angle_beta 90.00
_cell_angle_gamma 159.00
loop_
_symmetry_equiv_pos_as_xyz
'x,y,z'
loop_
_atom_site_label
_atom_site_type_symbol
_atom_site_fract_x
_atom_site_fract_y
_atom_site_fract_z
Sr1 Sr 0.070 0.930 0.750
Sr2 Sr 0.202 0.798 0.250
Sr3 Sr 0.798 0.202 0.750
Sr4 Sr 0.930 0.070 0.250
Si1 Si 0.331 0.669 0.250
Si2 Si 0.383 0.617 0.750
Si3 Si 0.477 0.523 0.750
Si4 Si 0.523 0.477 0.250
Si5 Si 0.617 0.383 0.250
Si6 Si 0.669 0.331 0.750
```

=====

Computed, not measured: crystalline MnAlCu at its relaxed geometry at the PBE level of DFT.

Values from the calculation:
E_form: 0.1166 eV/atom
Raw total energy: -5.5528 eV/atom
Spin magnetization: 3.115 Bohr magnetons per cell
Space-group type: F-43m
Density of states at the Fermi level: 1.78 states/eV per cell

Structure (CIF):
```
data_MnAlCu
_chemical_formula_sum 'Mn1 Al1 Cu1'
_symmetry_space_group_name_H-M 'P 1'
_symmetry_Int_Tables_number 1
_cell_length_a 4.040
_cell_length_b 4.040
_cell_length_c 4.040
_cell_angle_alpha 60.00
_cell_angle_beta 60.00
_cell_angle_gamma 60.00
loop_
_symmetry_equiv_pos_as_xyz
'x,y,z'
loop_
_atom_site_label
_atom_site_type_symbol
_atom_site_fract_x
_atom_site_fract_y
_atom_site_fract_z
Mn1 Mn 0.000 0.000 0.000
Al1 Al 0.500 0.500 0.500
Cu1 Cu 0.750 0.750 0.750
```

=====

Computed, not measured: crystalline SiIrN at its relaxed geometry at the PBE level of DFT.

Values from the calculation:
Raw total energy: -7.7388 eV/atom
Spin magnetization: 0.000 Bohr magnetons per cell
Formation energy (no corrections): -0.61 eV/f.u.
Space-group type: Cm
Density of states at the Fermi level: 3.66 states/eV per cell

Structure (CIF):
```
data_SiIrN
_chemical_formula_sum 'Si2 Ir2 N2'
_symmetry_space_group_name_H-M 'P 1'
_symmetry_Int_Tables_number 1
_cell_length_a 5.586
_cell_length_b 5.586
_cell_length_c 5.740
_cell_angle_alpha 120.90
_cell_angle_beta 120.90
_cell_angle_gamma 29.11
loop_
_symmetry_equiv_pos_as_xyz
'x,y,z'
loop_
_atom_site_label
_atom_site_type_symbol
_atom_site_fract_x
_atom_site_fract_y
_atom_site_fract_z
Si1 Si 0.000 0.000 0.000
Si2 Si 0.523 0.523 0.516
Ir1 Ir 0.201 0.201 0.939
Ir2 Ir 0.290 0.290 0.441
N1 N 0.055 0.055 0.360
N2 N 0.384 0.384 0.866
```

=====

Computed, not measured: crystalline TmCd2Sn at its relaxed geometry at the PBE level of DFT.

Values from the calculation:
E_form: -0.1495 eV/atom
Raw total energy: -2.7256 eV/atom
Spin magnetization: 0.059 Bohr magnetons per cell
Space-group type: P4/mmm
Density of states at the Fermi level: 2.19 states/eV per cell

Structure (CIF):
```
data_TmCd2Sn
_chemical_formula_sum 'Tm1 Cd2 Sn1'
_symmetry_space_group_name_H-M 'P 1'
_symmetry_Int_Tables_number 1
_cell_length_a 3.539
_cell_length_b 3.539
_cell_length_c 8.045
_cell_angle_alpha 90.00
_cell_angle_beta 90.00
_cell_angle_gamma 90.00
loop_
_symmetry_equiv_pos_as_xyz
'x,y,z'
loop_
_atom_site_label
_atom_site_type_symbol
_atom_site_fract_x
_atom_site_fract_y
_atom_site_fract_z
Tm1 Tm 0.000 0.000 0.000
Cd1 Cd 0.500 0.500 0.251
Cd2 Cd 0.500 0.500 0.749
Sn1 Sn 0.000 0.000 0.500
```

=====

Computed, not measured: crystalline Pu2Ga5Ir3 at its relaxed geometry at the PBE level of DFT.

Values from the calculation:
E_form: -0.5393 eV/atom
Raw total energy: -7.5775 eV/atom
Spin magnetization: 19.967 Bohr magnetons per cell
Space-group type: Cmc2_1
Density of states at the Fermi level: 38.68 states/eV per cell

Structure (CIF):
```
data_Pu2Ga5Ir3
_chemical_formula_sum 'Pu4 Ga10 Ir6'
_symmetry_space_group_name_H-M 'P 1'
_symmetry_Int_Tables_number 1
_cell_length_a 12.597
_cell_length_b 12.597
_cell_length_c 6.815
_cell_angle_alpha 90.00
_cell_angle_beta 90.00
_cell_angle_gamma 160.43
loop_
_symmetry_equiv_pos_as_xyz
'x,y,z'
loop_
_atom_site_label
_atom_site_type_symbol
_atom_site_fract_x
_atom_site_fract_y
_atom_site_fract_z
Pu1 Pu 0.021 0.979 0.500
Pu2 Pu 0.326 0.674 0.573
Pu3 Pu 0.674 0.326 0.073
Pu4 Pu 0.979 0.021 0.000
Ga1 Ga 0.102 0.898 0.867
Ga2 Ga 0.207 0.793 0.386
Ga3 Ga 0.209 0.791 0.783
Ga4 Ga 0.373 0.627 0.024
Ga5 Ga 0.447 0.553 0.671
Ga6 Ga 0.553 0.447 0.171
Ga7 Ga 0.627 0.373 0.524
Ga8 Ga 0.791 0.209 0.283
Ga9 Ga 0.793 0.207 0.886
Ga10 Ga 0.898 0.102 0.367
Ir1 Ir 0.109 0.891 0.256
Ir2 Ir 0.271 0.729 0.086
Ir3 Ir 0.452 0.548 0.281
Ir4 Ir 0.548 0.452 0.781
Ir5 Ir 0.729 0.271 0.586
Ir6 Ir 0.891 0.109 0.756
```

=====

Computed, not measured: crystalline ScSn2P at its relaxed geometry at the PBE level of DFT.

Values from the calculation:
E_form: -0.1094 eV/atom
Raw total energy: -5.0462 eV/atom
Spin magnetization: 0.000 Bohr magnetons per cell
Space-group type: I-42d
Density of states at the Fermi level: 6.49 states/eV per cell

Structure (CIF):
```
data_ScSn2P
_chemical_formula_sum 'Sc2 Sn4 P2'
_symmetry_space_group_name_H-M 'P 1'
_symmetry_Int_Tables_number 1
_cell_length_a 6.403
_cell_length_b 6.403
_cell_length_c 6.403
_cell_angle_alpha 101.53
_cell_angle_beta 101.53
_cell_angle_gamma 126.89
loop_
_symmetry_equiv_pos_as_xyz
'x,y,z'
loop_
_atom_site_label
_atom_site_type_symbol
_atom_site_fract_x
_atom_site_fract_y
_atom_site_fract_z
Sc1 Sc 0.000 0.000 0.000
Sc2 Sc 0.750 0.250 0.500
Sn1 Sn 0.159 0.625 0.034
Sn2 Sn 0.375 0.409 0.534
Sn3 Sn 0.591 0.125 0.966
Sn4 Sn 0.875 0.841 0.466
P1 P 0.250 0.750 0.500
P2 P 0.500 0.500 0.000
```

=====

Computed, not measured: crystalline ErNpPd4 at its relaxed geometry at the PBE level of DFT.

Values from the calculation:
E_form: -0.5249 eV/atom
Raw total energy: -6.9040 eV/atom
Spin magnetization: 4.244 Bohr magnetons per cell
Space-group type: F-43m
Density of states at the Fermi level: 14.01 states/eV per cell

Structure (CIF):
```
data_ErNpPd4
_chemical_formula_sum 'Er1 Np1 Pd4'
_symmetry_space_group_name_H-M 'P 1'
_symmetry_Int_Tables_number 1
_cell_length_a 5.433
_cell_length_b 5.433
_cell_length_c 5.433
_cell_angle_alpha 60.00
_cell_angle_beta 60.00
_cell_angle_gamma 60.00
loop_
_symmetry_equiv_pos_as_xyz
'x,y,z'
loop_
_atom_site_label
_atom_site_type_symbol
_atom_site_fract_x
_atom_site_fract_y
_atom_site_fract_z
Er1 Er 0.000 0.000 0.000
Np1 Np 0.250 0.250 0.250
Pd1 Pd 0.125 0.625 0.625
Pd2 Pd 0.625 0.125 0.625
Pd3 Pd 0.625 0.625 0.125
Pd4 Pd 0.625 0.625 0.625
```

=====

Computed, not measured: crystalline Rb2Mg3NpCl12 at its relaxed geometry at the PBE level of DFT.

Values from the calculation:
Raw total energy: -4.0968 eV/atom
Spin magnetization: 3.000 Bohr magnetons per cell
Formation energy (no corrections): -31.92 eV/f.u.
Space-group type: R-3m
Density of states at the Fermi level: 5.07 states/eV per cell

Structure (CIF):
```
data_Rb2Mg3NpCl12
_chemical_formula_sum 'Rb2 Mg3 Np1 Cl12'
_symmetry_space_group_name_H-M 'P 1'
_symmetry_Int_Tables_number 1
_cell_length_a 9.733
_cell_length_b 9.733
_cell_length_c 9.733
_cell_angle_alpha 56.00
_cell_angle_beta 56.00
_cell_angle_gamma 56.00
loop_
_symmetry_equiv_pos_as_xyz
'x,y,z'
loop_
_atom_site_label
_atom_site_type_symbol
_atom_site_fract_x
_atom_site_fract_y
_atom_site_fract_z
Rb1 Rb 0.083 0.083 0.083
Rb2 Rb 0.917 0.917 0.917
Mg1 Mg 0.000 0.500 0.500
Mg2 Mg 0.500 0.000 0.500
Mg3 Mg 0.500 0.500 0.000
Np1 Np 0.500 0.500 0.500
Cl1 Cl 0.166 0.578 0.578
Cl2 Cl 0.180 0.180 0.581
Cl3 Cl 0.180 0.581 0.180
Cl4 Cl 0.419 0.820 0.820
Cl5 Cl 0.422 0.422 0.834
Cl6 Cl 0.422 0.834 0.422
Cl7 Cl 0.578 0.166 0.578
Cl8 Cl 0.578 0.578 0.166
Cl9 Cl 0.581 0.180 0.180
Cl10 Cl 0.820 0.419 0.820
Cl11 Cl 0.820 0.820 0.419
Cl12 Cl 0.834 0.422 0.422
```

=====

Computed, not measured: crystalline ZrTlInBr2 at its relaxed geometry at the PBE level of DFT.

Values from the calculation:
Raw total energy: -3.0369 eV/atom
Spin magnetization: 2.498 Bohr magnetons per cell
Formation energy (no corrections): 1.81 eV/f.u.
Space-group type: P4/mmm
Density of states at the Fermi level: 5.29 states/eV per cell

Structure (CIF):
```
data_ZrTlInBr2
_chemical_formula_sum 'Zr1 Tl1 In1 Br2'
_symmetry_space_group_name_H-M 'P 1'
_symmetry_Int_Tables_number 1
_cell_length_a 5.745
_cell_length_b 5.745
_cell_length_c 5.830
_cell_angle_alpha 90.00
_cell_angle_beta 90.00
_cell_angle_gamma 90.00
loop_
_symmetry_equiv_pos_as_xyz
'x,y,z'
loop_
_atom_site_label
_atom_site_type_symbol
_atom_site_fract_x
_atom_site_fract_y
_atom_site_fract_z
Zr1 Zr 0.000 0.000 0.000
Tl1 Tl 0.500 0.500 0.000
In1 In 0.000 0.000 0.500
Br1 Br 0.000 0.500 0.500
Br2 Br 0.500 0.000 0.500
```

=====

Computed, not measured: crystalline Na3HoTl2O6 at its relaxed geometry at the PBE level of DFT.

Values from the calculation:
Raw total energy: -5.2215 eV/atom
Spin magnetization: 0.000 Bohr magnetons per cell
Formation energy (no corrections): -19.64 eV/f.u.
Space-group type: C2/m

Structure (CIF):
```
data_Na3HoTl2O6
_chemical_formula_sum 'Na3 Ho1 Tl2 O6'
_symmetry_space_group_name_H-M 'P 1'
_symmetry_Int_Tables_number 1
_cell_length_a 5.877
_cell_length_b 5.877
_cell_length_c 5.968
_cell_angle_alpha 99.43
_cell_angle_beta 99.43
_cell_angle_gamma 120.00
loop_
_symmetry_equiv_pos_as_xyz
'x,y,z'
loop_
_atom_site_label
_atom_site_type_symbol
_atom_site_fract_x
_atom_site_fract_y
_atom_site_fract_z
Na1 Na 0.000 0.000 0.000
Na2 Na 0.327 0.673 0.000
Na3 Na 0.673 0.327 0.000
Ho1 Ho 0.500 0.500 0.500
Tl1 Tl 0.166 0.834 0.500
Tl2 Tl 0.834 0.166 0.500
O1 O 0.098 0.426 0.277
O2 O 0.247 0.247 0.724
O3 O 0.426 0.098 0.277
O4 O 0.574 0.902 0.723
O5 O 0.753 0.753 0.276
O6 O 0.902 0.574 0.723
```